(1)
An optimized crystal structure of BeCu2P, computed with GGA-PBE.

Geometry as CIF:
```
data_BeCu2P
_symmetry_space_group_name_H-M 'P 1'
_symmetry_Int_Tables_number 1
_symmetry_space_group_name_Hall 'P 1'
_cell_length_a 5.743
_cell_length_b 5.743
_cell_length_c 5.743
_cell_angle_alpha 90.00
_cell_angle_beta 90.00
_cell_angle_gamma 90.00
loop_
_atom_site_label
_atom_site_type_symbol
_atom_site_fract_x
_atom_site_fract_y
_atom_site_fract_z
Be1 Be 0.000 0.000 0.000
Be2 Be 0.000 0.500 0.500
Be3 Be 0.500 0.000 0.500
Be4 Be 0.500 0.500 0.000
Cu1 Cu 0.250 0.250 0.250
Cu2 Cu 0.250 0.250 0.750
Cu3 Cu 0.250 0.750 0.250
Cu4 Cu 0.250 0.750 0.750
Cu5 Cu 0.750 0.250 0.250
Cu6 Cu 0.750 0.250 0.750
Cu7 Cu 0.750 0.750 0.250
Cu8 Cu 0.750 0.750 0.750
P1 P 0.000 0.000 0.500
P2 P 0.000 0.500 0.000
P3 P 0.500 0.000 0.000
P4 P 0.500 0.500 0.500
```

Summary:
Calculated total energy = -4.063 eV/atom
Symmetry = No. 225
ΔE to the lowest computed polymorph = 22.04 kJ/mol of atoms
Calculated volume = 11.84 Å³ per atom
ΔE_f = 0.2688 eV/atom

***

(2)
An optimized crystal structure of Hf8As3P2, computed with GGA-PBE.

Geometry as CIF:
```
data_Hf8As3P2
_symmetry_space_group_name_H-M 'P 1'
_symmetry_Int_Tables_number 1
_symmetry_space_group_name_Hall 'P 1'
_cell_length_a 7.305
_cell_length_b 7.305
_cell_length_c 6.249
_cell_angle_alpha 102.47
_cell_angle_beta 102.47
_cell_angle_gamma 59.11
loop_
_atom_site_label
_atom_site_type_symbol
_atom_site_fract_x
_atom_site_fract_y
_atom_site_fract_z
Hf1 Hf 0.099 0.099 0.355
Hf2 Hf 0.109 0.645 0.101
Hf3 Hf 0.351 0.351 0.585
Hf4 Hf 0.355 0.891 0.899
Hf5 Hf 0.645 0.109 0.101
Hf6 Hf 0.649 0.649 0.415
Hf7 Hf 0.891 0.355 0.899
Hf8 Hf 0.901 0.901 0.645
As1 As 0.273 0.727 0.500
As2 As 0.500 0.500 0.000
As3 As 0.727 0.273 0.500
P1 P 0.252 0.252 0.159
P2 P 0.748 0.748 0.841
```

Summary:
Calculated total energy = -8.600 eV/atom
Symmetry = No. 12
Calculated volume = 21.32 Å³ per atom
ΔE_f = -0.5696 eV/atom

***

(3)
An optimized crystal structure of LiLaAlH6, computed with GGA-PBE.

Geometry as CIF:
```
data_LiLaAlH6
_symmetry_space_group_name_H-M 'P 1'
_symmetry_Int_Tables_number 1
_symmetry_space_group_name_Hall 'P 1'
_cell_length_a 4.520
_cell_length_b 4.520
_cell_length_c 4.667
_cell_angle_alpha 90.00
_cell_angle_beta 90.00
_cell_angle_gamma 120.00
loop_
_atom_site_label
_atom_site_type_symbol
_atom_site_fract_x
_atom_site_fract_y
_atom_site_fract_z
Li1 Li 0.000 0.000 0.000
La1 La 0.667 0.333 0.500
Al1 Al 0.333 0.667 0.000
H1 H 0.170 0.340 0.263
H2 H 0.170 0.340 0.737
H3 H 0.170 0.830 0.263
H4 H 0.170 0.830 0.737
H5 H 0.660 0.830 0.263
H6 H 0.660 0.830 0.737
```

Summary:
Calculated total energy = -3.713 eV/atom
Symmetry = No. 187
Calculated volume = 9.17 Å³ per atom

***

(4)
An optimized crystal structure of Si23Ir, computed with GGA-PBE.

Geometry as CIF:
```
data_Si23Ir
_symmetry_space_group_name_H-M 'P 1'
_symmetry_Int_Tables_number 1
_symmetry_space_group_name_Hall 'P 1'
_cell_length_a 10.161
_cell_length_b 10.161
_cell_length_c 10.161
_cell_angle_alpha 90.00
_cell_angle_beta 90.00
_cell_angle_gamma 90.00
loop_
_atom_site_label
_atom_site_type_symbol
_atom_site_fract_x
_atom_site_fract_y
_atom_site_fract_z
Si1 Si 0.000 0.116 0.311
Si2 Si 0.000 0.116 0.689
Si3 Si 0.000 0.250 0.500
Si4 Si 0.000 0.750 0.500
Si5 Si 0.000 0.884 0.311
Si6 Si 0.000 0.884 0.689
Si7 Si 0.116 0.311 0.000
Si8 Si 0.116 0.689 0.000
Si9 Si 0.178 0.178 0.178
Si10 Si 0.178 0.178 0.822
Si11 Si 0.178 0.822 0.178
Si12 Si 0.178 0.822 0.822
Si13 Si 0.189 0.384 0.500
Si14 Si 0.189 0.616 0.500
Si15 Si 0.250 0.500 0.000
Si16 Si 0.311 0.000 0.116
Si17 Si 0.311 0.000 0.884
Si18 Si 0.322 0.322 0.322
Si19 Si 0.322 0.322 0.678
Si20 Si 0.322 0.678 0.322
Si21 Si 0.322 0.678 0.678
Si22 Si 0.384 0.500 0.189
Si23 Si 0.384 0.500 0.811
Si24 Si 0.500 0.000 0.250
Si25 Si 0.500 0.000 0.750
Si26 Si 0.500 0.189 0.384
Si27 Si 0.500 0.189 0.616
Si28 Si 0.500 0.811 0.384
Si29 Si 0.500 0.811 0.616
Si30 Si 0.616 0.500 0.189
Si31 Si 0.616 0.500 0.811
Si32 Si 0.678 0.322 0.322
Si33 Si 0.678 0.322 0.678
Si34 Si 0.678 0.678 0.322
Si35 Si 0.678 0.678 0.678
Si36 Si 0.689 0.000 0.116
Si37 Si 0.689 0.000 0.884
Si38 Si 0.750 0.500 0.000
Si39 Si 0.811 0.384 0.500
Si40 Si 0.811 0.616 0.500
Si41 Si 0.822 0.178 0.178
Si42 Si 0.822 0.178 0.822
Si43 Si 0.822 0.822 0.178
Si44 Si 0.822 0.822 0.822
Si45 Si 0.884 0.311 0.000
Si46 Si 0.884 0.689 0.000
Ir1 Ir 0.000 0.000 0.000
Ir2 Ir 0.500 0.500 0.500
```

Summary:
Calculated total energy = -5.352 eV/atom
Symmetry = No. 223
Calculated volume = 21.86 Å³ per atom
ΔE_f (raw) = 0.215 eV/atom

***

(5)
An optimized crystal structure of Dy4Pd7Au6, computed with GGA-PBE.

Geometry as CIF:
```
data_Dy4Pd7Au6
_symmetry_space_group_name_H-M 'P 1'
_symmetry_Int_Tables_number 1
_symmetry_space_group_name_Hall 'P 1'
_cell_length_a 7.541
_cell_length_b 7.541
_cell_length_c 7.541
_cell_angle_alpha 109.47
_cell_angle_beta 109.47
_cell_angle_gamma 109.47
loop_
_atom_site_label
_atom_site_type_symbol
_atom_site_fract_x
_atom_site_fract_y
_atom_site_fract_z
Dy1 Dy 0.000 0.000 0.500
Dy2 Dy 0.000 0.500 0.000
Dy3 Dy 0.500 0.000 0.000
Dy4 Dy 0.500 0.500 0.500
Pd1 Pd 0.000 0.000 0.000
Pd2 Pd 0.250 0.500 0.750
Pd3 Pd 0.250 0.750 0.500
Pd4 Pd 0.500 0.250 0.750
Pd5 Pd 0.500 0.750 0.250
Pd6 Pd 0.750 0.250 0.500
Pd7 Pd 0.750 0.500 0.250
Au1 Au 0.000 0.303 0.303
Au2 Au 0.000 0.697 0.697
Au3 Au 0.303 0.000 0.303
Au4 Au 0.303 0.303 0.000
Au5 Au 0.697 0.000 0.697
Au6 Au 0.697 0.697 0.000
```

Summary:
Calculated total energy = -5.053 eV/atom
Symmetry = No. 229
Calculated volume = 19.42 Å³ per atom
ΔE_f = -0.6754 eV/atom

***

(6)
An optimized crystal structure of YCu8Ag3, computed with GGA-PBE.

Geometry as CIF:
```
data_YCu8Ag3
_symmetry_space_group_name_H-M 'P 1'
_symmetry_Int_Tables_number 1
_symmetry_space_group_name_Hall 'P 1'
_cell_length_a 8.709
_cell_length_b 8.709
_cell_length_c 8.709
_cell_angle_alpha 33.32
_cell_angle_beta 33.32
_cell_angle_gamma 33.32
loop_
_atom_site_label
_atom_site_type_symbol
_atom_site_fract_x
_atom_site_fract_y
_atom_site_fract_z
Y1 Y 0.000 0.000 0.000
Cu1 Cu 0.187 0.187 0.187
Cu2 Cu 0.435 0.435 0.933
Cu3 Cu 0.435 0.933 0.435
Cu4 Cu 0.440 0.938 0.938
Cu5 Cu 0.688 0.688 0.688
Cu6 Cu 0.933 0.435 0.435
Cu7 Cu 0.938 0.440 0.938
Cu8 Cu 0.938 0.938 0.440
Ag1 Ag 0.381 0.381 0.381
Ag2 Ag 0.500 0.500 0.500
Ag3 Ag 0.873 0.873 0.873
```

Summary:
Calculated total energy = -4.044 eV/atom
Symmetry = No. 160
Calculated volume = 14.79 Å³ per atom
ΔE_f = -0.0620 eV/atom

***

(7)
An optimized crystal structure of Li2AsW, computed with GGA-PBE.

Geometry as CIF:
```
data_Li2AsW
_symmetry_space_group_name_H-M 'P 1'
_symmetry_Int_Tables_number 1
_symmetry_space_group_name_Hall 'P 1'
_cell_length_a 5.052
_cell_length_b 9.208
_cell_length_c 2.692
_cell_angle_alpha 90.00
_cell_angle_beta 90.00
_cell_angle_gamma 90.00
loop_
_atom_site_label
_atom_site_type_symbol
_atom_site_fract_x
_atom_site_fract_y
_atom_site_fract_z
Li1 Li 0.250 0.250 0.000
Li2 Li 0.250 0.750 0.000
Li3 Li 0.750 0.250 0.000
Li4 Li 0.750 0.750 0.000
As1 As 0.000 0.000 0.500
As2 As 0.500 0.500 0.500
W1 W 0.000 0.500 0.500
W2 W 0.500 0.000 0.500
```

Summary:
Calculated total energy = -5.198 eV/atom
Symmetry = No. 65
Calculated volume = 15.65 Å³ per atom
ΔE_f = 0.1593 eV/atom

***

(8)
An optimized crystal structure of Ag6As7, computed with GGA-PBE.

Geometry as CIF:
```
data_Ag6As7
_symmetry_space_group_name_H-M 'P 1'
_symmetry_Int_Tables_number 1
_symmetry_space_group_name_Hall 'P 1'
_cell_length_a 9.794
_cell_length_b 9.794
_cell_length_c 9.794
_cell_angle_alpha 34.85
_cell_angle_beta 34.85
_cell_angle_gamma 34.85
loop_
_atom_site_label
_atom_site_type_symbol
_atom_site_fract_x
_atom_site_fract_y
_atom_site_fract_z
Ag1 Ag 0.070 0.070 0.070
Ag2 Ag 0.172 0.172 0.172
Ag3 Ag 0.331 0.331 0.331
Ag4 Ag 0.669 0.669 0.669
Ag5 Ag 0.828 0.828 0.828
Ag6 Ag 0.930 0.930 0.930
As1 As 0.092 0.578 0.578
As2 As 0.422 0.422 0.908
As3 As 0.422 0.908 0.422
As4 As 0.500 0.500 0.500
As5 As 0.578 0.092 0.578
As6 As 0.578 0.578 0.092
As7 As 0.908 0.422 0.422
```

Summary:
Calculated total energy = -3.479 eV/atom
Symmetry = No. 166
Calculated volume = 21.06 Å³ per atom
ΔE_f = 0.3407 eV/atom

***

(9)
An optimized crystal structure of Ce2PaRhN5, computed with GGA-PBE.

Geometry as CIF:
```
data_Ce2PaRhN5
_symmetry_space_group_name_H-M 'P 1'
_symmetry_Int_Tables_number 1
_symmetry_space_group_name_Hall 'P 1'
_cell_length_a 6.436
_cell_length_b 6.436
_cell_length_c 5.750
_cell_angle_alpha 90.00
_cell_angle_beta 90.00
_cell_angle_gamma 90.00
loop_
_atom_site_label
_atom_site_type_symbol
_atom_site_fract_x
_atom_site_fract_y
_atom_site_fract_z
Ce1 Ce 0.162 0.338 0.000
Ce2 Ce 0.338 0.838 0.000
Ce3 Ce 0.662 0.162 0.000
Ce4 Ce 0.838 0.662 0.000
Pa1 Pa 0.000 0.000 0.500
Pa2 Pa 0.500 0.500 0.500
Rh1 Rh 0.000 0.500 0.500
Rh2 Rh 0.500 0.000 0.500
N1 N 0.000 0.000 0.000
N2 N 0.168 0.668 0.277
N3 N 0.168 0.668 0.723
N4 N 0.332 0.168 0.277
N5 N 0.332 0.168 0.723
N6 N 0.500 0.500 0.000
N7 N 0.668 0.832 0.277
N8 N 0.668 0.832 0.723
N9 N 0.832 0.332 0.277
N10 N 0.832 0.332 0.723
```

Summary:
Calculated total energy = -8.719 eV/atom
Symmetry = No. 127
Calculated volume = 13.23 Å³ per atom
ΔE_f (raw) = -0.903 eV/atom

***

(10)
An optimized crystal structure of Tm8Bi3Te4, computed with GGA-PBE.

Geometry as CIF:
```
data_Tm8Bi3Te4
_symmetry_space_group_name_H-M 'P 1'
_symmetry_Int_Tables_number 1
_symmetry_space_group_name_Hall 'P 1'
_cell_length_a 8.615
_cell_length_b 8.615
_cell_length_c 8.571
_cell_angle_alpha 119.75
_cell_angle_beta 119.75
_cell_angle_gamma 90.09
loop_
_atom_site_label
_atom_site_type_symbol
_atom_site_fract_x
_atom_site_fract_y
_atom_site_fract_z
Tm1 Tm 0.233 0.233 0.002
Tm2 Tm 0.237 0.763 0.000
Tm3 Tm 0.241 0.241 0.481
Tm4 Tm 0.250 0.750 0.500
Tm5 Tm 0.750 0.250 0.500
Tm6 Tm 0.759 0.759 0.519
Tm7 Tm 0.763 0.237 0.000
Tm8 Tm 0.767 0.767 0.998
Bi1 Bi 0.000 0.000 0.500
Bi2 Bi 0.000 0.500 0.000
Bi3 Bi 0.500 0.000 0.000
Te1 Te 0.000 0.500 0.500
Te2 Te 0.500 0.000 0.500
Te3 Te 0.500 0.500 0.000
Te4 Te 0.500 0.500 0.500
```

Summary:
Calculated total energy = -4.878 eV/atom
Symmetry = No. 12
Calculated volume = 30.19 Å³ per atom
ΔE_f (raw) = -0.880 eV/atom

***

(11)
An optimized crystal structure of KRhSe2, computed with GGA-PBE.

Geometry as CIF:
```
data_KRhSe2
_symmetry_space_group_name_H-M 'P 1'
_symmetry_Int_Tables_number 1
_symmetry_space_group_name_Hall 'P 1'
_cell_length_a 6.874
_cell_length_b 6.874
_cell_length_c 6.874
_cell_angle_alpha 90.00
_cell_angle_beta 90.00
_cell_angle_gamma 90.00
loop_
_atom_site_label
_atom_site_type_symbol
_atom_site_fract_x
_atom_site_fract_y
_atom_site_fract_z
K1 K 0.000 0.000 0.000
K2 K 0.000 0.500 0.500
K3 K 0.500 0.000 0.500
K4 K 0.500 0.500 0.000
Rh1 Rh 0.000 0.000 0.500
Rh2 Rh 0.000 0.500 0.000
Rh3 Rh 0.500 0.000 0.000
Rh4 Rh 0.500 0.500 0.500
Se1 Se 0.250 0.250 0.250
Se2 Se 0.250 0.250 0.750
Se3 Se 0.250 0.750 0.250
Se4 Se 0.250 0.750 0.750
Se5 Se 0.750 0.250 0.250
Se6 Se 0.750 0.250 0.750
Se7 Se 0.750 0.750 0.250
Se8 Se 0.750 0.750 0.750
```

Summary:
Calculated total energy = -3.820 eV/atom
Symmetry = No. 225
Calculated volume = 20.30 Å³ per atom
ΔE_f (raw) = 0.034 eV/atom

***

(12)
An optimized crystal structure of LiPa2Zn, computed with GGA-PBE.

Geometry as CIF:
```
data_LiPa2Zn
_symmetry_space_group_name_H-M 'P 1'
_symmetry_Int_Tables_number 1
_symmetry_space_group_name_Hall 'P 1'
_cell_length_a 3.034
_cell_length_b 3.034
_cell_length_c 34.377
_cell_angle_alpha 90.00
_cell_angle_beta 90.00
_cell_angle_gamma 120.00
loop_
_atom_site_label
_atom_site_type_symbol
_atom_site_fract_x
_atom_site_fract_y
_atom_site_fract_z
Li1 Li 0.000 0.000 0.000
Li2 Li 0.333 0.667 0.667
Li3 Li 0.667 0.333 0.333
Pa1 Pa 0.000 0.000 0.091
Pa2 Pa 0.000 0.000 0.909
Pa3 Pa 0.333 0.667 0.575
Pa4 Pa 0.333 0.667 0.758
Pa5 Pa 0.667 0.333 0.242
Pa6 Pa 0.667 0.333 0.425
Zn1 Zn 0.000 0.000 0.500
Zn2 Zn 0.333 0.667 0.167
Zn3 Zn 0.667 0.333 0.833
```

Summary:
Calculated total energy = -5.323 eV/atom
Symmetry = No. 166
Calculated volume = 22.84 Å³ per atom
ΔE_f = 0.2217 eV/atom

***

Sequential magnetic moment output: 0.0, 0.0, 0.0, 0.0, 0.0, 0.0, 0.0, 0.0, 0.0, 0.0, 0.0, 0.0 μB per cell